# Pa2Ni3P4Ir PBE-GGA relaxed
# DFT total energy   -7.57 eV/atom
# Formation energy from the elements   -0.889 eV/atom
data_Pa2Ni3P4Ir
_chemical_formula_sum 'Pa2 Ni3 P4 Ir1'
_symmetry_space_group_name_H-M 'P -4 m 2'
_symmetry_Int_Tables_number 115
_cell_length_a 4.104
_cell_length_b 4.104
_cell_length_c 8.930
_cell_angle_alpha 90.00
_cell_angle_beta 90.00
_cell_angle_gamma 90.00
loop_
_symmetry_equiv_pos_as_xyz
'x,y,z'
'y,-x,-z'
'-x,-y,z'
'-y,x,-z'
'-x,y,z'
'-y,-x,-z'
'x,-y,z'
'y,x,-z'
loop_
_atom_site_label
_atom_site_fract_x
_atom_site_fract_y
_atom_site_fract_z
Pa1 0.000 0.500 0.240
Ni1 0.000 0.500 0.890
Ni2 0.500 0.500 0.500
P1 0.000 0.000 0.000
P2 0.000 0.500 0.640
P3 0.500 0.500 0.000
Ir1 0.000 0.000 0.500